Entry w
Computed, not measured: an optimized crystal structure of DyHoGeAu at the PBE level of DFT.

The volume is 189.78 Å³/cell. Its total magnetic moment is 0.00 μB per atom.

Lattice parameters (Å, degrees): 4.3061 4.0408 10.9069 90.00 90.00 90.00
With the nearest neighbours (Å) after each atom.
Space group Amm2 (No. 38)
Symmetry-distinct sites (fractional):
Dy 0.0000 0.0000 0.0000 (multiplicity 2)  3 Ge 2.99-3.19, 4 Au 3.01
Ho 0.5000 0.0000 0.2784 (multiplicity 2)  4 Ge 3.01, 3 Au 3.02-3.17
Ge 0.0000 0.0000 0.7262 (multiplicity 2)  2 Au 2.85, 3 Dy 2.99-3.19, 4 Ho 3.01
Au 0.5000 0.0000 0.5550 (multiplicity 2)  2 Ge 2.85, 4 Dy 3.01, 3 Ho 3.02-3.17

Entry x
Computed, not measured: an optimized crystal structure of DyHoGeAu at the PBE level of DFT.

The volume is 367.74 Å³/cell. Its total magnetic moment is 0.10 μB per atom.

Lattice parameters (Å, degrees): 7.1644 7.1644 7.1644 90.00 90.00 90.00
With the nearest neighbours (Å) after each atom.
Space group F-43m (No. 216)
Symmetry-distinct sites (fractional):
Dy 0.0000 0.0000 0.0000 (multiplicity 4)  4 Ge 3.10, 4 Au 3.10
Ho 0.0000 0.0000 0.5000 (multiplicity 4)  4 Ge 3.10, 4 Au 3.10
Ge 0.2500 0.2500 0.7500 (multiplicity 4)  4 Dy 3.10, 4 Ho 3.10
Au 0.2500 0.2500 0.2500 (multiplicity 4)  4 Dy 3.10, 4 Ho 3.10

Most favorable first, least favorable last: entry w, entry x

Entry w
Computed, not measured: an optimized crystal structure of PmDyGeAu at the PBE level of DFT.

The volume is 385.16 Å³/cell. Its total magnetic moment is 0.17 μB per atom.

Lattice parameters (Å, degrees): 7.2758 7.2758 7.2758 90.00 90.00 90.00
With the nearest neighbours (Å) after each atom.
Space group F-43m (No. 216)
Symmetry-distinct sites (fractional):
Pm 0.0000 0.0000 0.0000 (multiplicity 4)  4 Ge 3.15, 4 Au 3.15
Dy 0.0000 0.0000 0.5000 (multiplicity 4)  4 Ge 3.15, 4 Au 3.15
Ge 0.2500 0.2500 0.7500 (multiplicity 4)  4 Dy 3.15, 4 Pm 3.15
Au 0.2500 0.2500 0.2500 (multiplicity 4)  4 Dy 3.15, 4 Pm 3.15

Entry x
Computed, not measured: an optimized crystal structure of PmDyGeAu at the PBE level of DFT.

The volume is 198.96 Å³/cell. Its total magnetic moment is 0.00 μB per atom.

Lattice parameters (Å, degrees): 4.3689 4.0969 11.1157 90.00 90.00 90.00
With the nearest neighbours (Å) after each atom.
Space group Amm2 (No. 38)
Symmetry-distinct sites (fractional):
Pm 0.0000 0.0000 0.0000 (multiplicity 2)  3 Ge 3.02-3.27, 4 Au 3.07
Dy 0.5000 0.0000 0.2778 (multiplicity 2)  4 Ge 3.04, 3 Au 3.14-3.17
Ge 0.0000 0.0000 0.7287 (multiplicity 2)  2 Au 2.88, 1 Pm 3.02, 4 Dy 3.04
Au 0.5000 0.0000 0.5604 (multiplicity 2)  2 Ge 2.88, 4 Pm 3.07, 3 Dy 3.14-3.17

Most favorable first, least favorable last: entry x, entry w

Entry w
Computed, not measured: an optimized crystal structure of SmDyGeAu at the PBE level of DFT.

The volume is 382.09 Å³/cell. Its total magnetic moment is 0.16 μB per atom.

Lattice parameters (Å, degrees): 7.2564 7.2564 7.2564 90.00 90.00 90.00
With the nearest neighbours (Å) after each atom.
Space group F-43m (No. 216)
Symmetry-distinct sites (fractional):
Sm 0.0000 0.0000 0.0000 (multiplicity 4)  4 Ge 3.14, 4 Au 3.14
Dy 0.0000 0.0000 0.5000 (multiplicity 4)  4 Ge 3.14, 4 Au 3.14
Ge 0.2500 0.2500 0.7500 (multiplicity 4)  4 Dy 3.14, 4 Sm 3.14
Au 0.2500 0.2500 0.2500 (multiplicity 4)  4 Dy 3.14, 4 Sm 3.14

Entry x
Computed, not measured: an optimized crystal structure of SmDyGeAu at the PBE level of DFT.

The volume is 197.39 Å³/cell. Its total magnetic moment is 0.00 μB per atom.

Lattice parameters (Å, degrees): 4.3608 4.0888 11.0704 90.00 90.00 90.00
With the nearest neighbours (Å) after each atom.
Space group Amm2 (No. 38)
Symmetry-distinct sites (fractional):
Sm 0.0000 0.0000 0.0000 (multiplicity 2)  3 Ge 3.01-3.25, 4 Au 3.06
Dy 0.5000 0.0000 0.2778 (multiplicity 2)  4 Ge 3.04, 3 Au 3.11-3.17
Ge 0.0000 0.0000 0.7281 (multiplicity 2)  2 Au 2.87, 1 Sm 3.01, 4 Dy 3.04
Au 0.5000 0.0000 0.5591 (multiplicity 2)  2 Ge 2.87, 4 Sm 3.06, 3 Dy 3.11-3.17

Most favorable first, least favorable last: entry x, entry w

Entry w
Computed, not measured: an optimized crystal structure of TbDyGeAu at the PBE level of DFT.

The volume is 372.55 Å³/cell. Its total magnetic moment is 0.13 μB per atom.

Lattice parameters (Å, degrees): 7.1955 7.1955 7.1955 90.00 90.00 90.00
With the nearest neighbours (Å) after each atom.
Space group F-43m (No. 216)
Symmetry-distinct sites (fractional):
Tb 0.0000 0.0000 0.0000 (multiplicity 4)  4 Ge 3.12, 4 Au 3.12
Dy 0.0000 0.0000 0.5000 (multiplicity 4)  4 Au 3.12, 4 Ge 3.12
Ge 0.2500 0.2500 0.7500 (multiplicity 4)  4 Tb 3.12, 4 Dy 3.12
Au 0.2500 0.2500 0.2500 (multiplicity 4)  4 Tb 3.12, 4 Dy 3.12

Entry x
Computed, not measured: an optimized crystal structure of TbDyGeAu at the PBE level of DFT.

The volume is 192.32 Å³/cell. Its total magnetic moment is 0.00 μB per atom.

Lattice parameters (Å, degrees): 4.3264 4.0568 10.9571 90.00 90.00 90.00
With the nearest neighbours (Å) after each atom.
Space group Amm2 (No. 38)
Symmetry-distinct sites (fractional):
Tb 0.0000 0.0000 0.0000 (multiplicity 2)  3 Ge 3.00-3.20, 4 Au 3.03
Dy 0.5000 0.0000 0.7219 (multiplicity 2)  4 Ge 3.02, 3 Au 3.04-3.17
Ge 0.0000 0.0000 0.2737 (multiplicity 2)  2 Au 2.86, 1 Tb 3.00, 4 Dy 3.02
Au 0.5000 0.0000 0.4445 (multiplicity 2)  2 Ge 2.86, 4 Tb 3.03, 3 Dy 3.04-3.17

Most favorable first, least favorable last: entry x, entry w